InH4Se | GGA-PBE | optimized geometry

```
data_InH4Se
_cell_length_a 5.572
_cell_length_b 12.407
_cell_length_c 5.660
_cell_angle_alpha 90.00
_cell_angle_beta 90.89
_cell_angle_gamma 90.00
_space_group_name_H-M_alt 'C 1 2/c 1'
_space_group_IT_number 15
_space_group_name_Hall '-C 2yc'
loop_
_atom_site_label
_atom_site_type_symbol
_atom_site_fract_x
_atom_site_fract_y
_atom_site_fract_z
_atom_site_occupancy
In1 In 0.000 0.250 0.250 1
H1 H 0.208 0.023 0.884 1
H2 H 0.209 0.475 0.617 1
Se1 Se 0.000 0.250 0.750 1
```

Computed properties:
* uncorrected energy: -80.70 eV per cell
* density: 3.36 g cm⁻³